First-principles (GGA-PBE) data for a geometry-optimized Ce2CdSn3Pd4 structure, as listed in Alexandria.

Computed properties:
formation enthalpy at 0 K	-0.65	eV/atom
Fermi-level density of states	1.6437	states/eV per atom

Cell lengths 4.546, 4.546, 10.914 Å; angles 90.00, 90.00, 90.00 degrees
Positions (direct):
Ce: 0.000 0.500 0.244
Ce: 0.500 0.000 0.756
Cd: 0.000 0.000 0.500
Sn: 0.000 0.500 0.873
Sn: 0.500 0.000 0.127
Sn: 0.500 0.500 0.500
Pd: 0.000 0.000 0.000
Pd: 0.000 0.500 0.636
Pd: 0.500 0.000 0.364
Pd: 0.500 0.500 0.000